{
  "formula": "LaHg2Bi2",
  "functional": "PBE",
  "state": "relaxed",
  "spacegroup": "Cmcm (63)",
  "delta_e_f_ev_per_atom": -0.424,
  "vol_a3_per_atom": 29.27,
  "mass_density_g_cm3": 10.87,
  "relative_energy_mev_per_atom": 0,
  "dft_energy_ev_per_atom": -3.083,
  "lattice_angstrom": [[4.6782, 0.0000, -0.8315], [0.0000, 4.7014, 0.0000], [-0.0461, 0.0000, 13.3158]],
  "species": ["Bi", "Hg", "La", "Hg", "Hg", "Bi", "Bi", "Bi", "Hg", "La"],
  "fractional_positions": [[0.1391, 0.2500, 0.2781], [0.5422, 0.2500, 0.0843], [0.3550, 0.2500, 0.7101], [0.0443, 0.7500, 0.0886], [0.4578, 0.7500, 0.9157], [0.2498, 0.7500, 0.4995], [0.8609, 0.7500, 0.7219], [0.7502, 0.2500, 0.5005], [0.9557, 0.2500, 0.9114], [0.6450, 0.7500, 0.2899]]
}